DFT (PBE) results for a geometry-optimized Ba2SrRh structure.

Crystal system ... tetragonal
Total magnetic moment ... 0.00 μB per cell

Lattice parameters (Å, degrees): 5.2719 5.2719 10.5096 90.00 90.00 90.00
With the nearest neighbours (Å) after each atom.
Space group I4/mmm (No. 139)
One atom of each set of equivalent atoms:
Ba 0.0000 0.5000 0.2500 [4 per cell]  4 Rh 3.72, 4 Sr 3.72, 4 Ba 3.73
Sr 0.0000 0.0000 0.0000 [2 per cell]  8 Ba 3.72, 4 Rh 3.73
Rh 0.0000 0.0000 0.5000 [2 per cell]  8 Ba 3.72, 4 Sr 3.73

***

DFT (PBE) results for a geometry-optimized PmLu2Zr structure.

Crystal system ... tetragonal
Total magnetic moment ... 0.00 μB per cell

Lattice parameters (Å, degrees): 4.8484 4.8484 4.8189 90.00 90.00 90.00
With the nearest neighbours (Å) after each atom.
Space group P4/mmm (No. 123)
One atom of each set of equivalent atoms:
Pm 0.0000 0.0000 0.0000 [1 per cell]  8 Lu 3.42, 4 Zr 3.43
Lu 0.0000 0.5000 0.5000 [2 per cell]  4 Zr 3.42, 4 Pm 3.42, 4 Lu 3.43
Zr 0.5000 0.5000 0.0000 [1 per cell]  8 Lu 3.42, 4 Pm 3.43

***

VASP energy? In order: -11.81 -21.98 eV per formula unit.